1.
Here is a relaxed NaY5Pb6 crystal from Alexandria. Energies are from PBE.

The structure in POSCAR format:
```
NaY5Pb6
1.0
-4.3288 0.3721 -2.4503
-0.7120 -8.9224 -0.0970
-1.5421 0.0380 7.8280
Y Na Pb
5 1 6
Direct
0.6626 0.5000 0.3261
0.3400 0.0000 0.6796
0.0000 0.5000 0.0000
0.6600 0.0000 0.3204
0.3374 0.5000 0.6739
0.0000 0.0000 0.0000
0.8323 0.7508 0.6630
0.8323 0.2492 0.6630
0.5000 0.2484 0.0000
0.5000 0.7516 0.0000
0.1677 0.7508 0.3370
0.1677 0.2492 0.3370
```

Calculated formation energy (eV per atom): -0.424
Calculated volume (A^3/atom): 28.19
SG: P2/m, No. 10

2.
Here is a relaxed NaYPb crystal from Alexandria. Energies are from PBE.

The structure in POSCAR format:
```
NaYPb
1.0
5.0550 -2.9185 0.0000
0.0000 5.8370 0.0000
0.0000 0.0000 11.7847
Pb Y Na
2 2 2
Direct
0.0000 0.0000 0.0000
0.0000 0.0000 0.5000
0.0000 0.0000 0.2500
0.0000 0.0000 0.7500
0.3333 0.6667 0.2500
0.6667 0.3333 0.7500
```

Calculated formation energy (eV per atom): 0.984
Calculated volume (A^3/atom): 57.95
SG: P6_3/mmc, No. 194

3.
Here is a relaxed NaYPb2 crystal from Alexandria. Energies are from PBE.

The structure in POSCAR format:
```
NaYPb2
1.0
-0.0068 -7.6702 -3.3421
2.6736 -3.1689 7.2671
-1.8977 -5.8524 2.9625
Pb Y Na
4 2 2
Direct
0.6089 0.1250 0.2500
0.1411 0.6250 0.2500
0.3750 0.3911 0.7500
0.8750 0.8589 0.7500
0.0000 0.0000 0.0000
0.7500 0.2500 0.5000
0.5000 0.5000 0.0000
0.2500 0.7500 0.5000
```

Calculated formation energy (eV per atom): -0.041
Calculated volume (A^3/atom): 29.84
SG: I-42d, No. 122

4.
Here is a relaxed NaY2Pb crystal from Alexandria. Energies are from PBE.

The structure in POSCAR format:
```
NaY2Pb
1.0
4.5002 0.0000 0.0000
0.0000 5.0330 0.0000
0.0000 0.0000 5.0330
Pb Y Na
1 2 1
Direct
0.5000 0.0000 0.0000
0.0000 0.0000 0.5000
0.0000 0.5000 0.0000
0.5000 0.5000 0.5000
```

Calculated formation energy (eV per atom): -0.195
Calculated volume (A^3/atom): 28.50
SG: P4/mmm, No. 123